(1)
## Tm2Pd5Au (GGA-PBE)

Data for an optimized crystal structure of Tm2Pd5Au.

The structure in POSCAR format:
```
Tm2Pd5Au
1.0
5.785 0.000 0.000
0.000 11.563 0.000
0.000 0.000 4.166
Tm Pd Au
4 10 2
direct
0.234 0.130 0.000 Tm
0.266 0.630 0.000 Tm
0.734 0.370 0.000 Tm
0.766 0.870 0.000 Tm
0.000 0.000 0.500 Pd
0.014 0.750 0.500 Pd
0.240 0.377 0.000 Pd
0.260 0.877 0.000 Pd
0.486 0.250 0.500 Pd
0.500 0.500 0.500 Pd
0.514 0.750 0.500 Pd
0.740 0.123 0.000 Pd
0.760 0.623 0.000 Pd
0.986 0.250 0.500 Pd
0.000 0.500 0.500 Au
0.500 0.000 0.500 Au
```

Results
E_form	-0.943	eV per atom
crystal system	orthorhombic
space-group type	Pbam, No. 55

(2)
## ScTaFe (GGA-PBE)

Data for an optimized crystal structure of ScTaFe.

The structure in POSCAR format:
```
ScTaFe
1.0
0.000 3.011 3.011
3.011 0.000 3.011
3.011 3.011 0.000
Sc Ta Fe
1 1 1
direct
0.000 0.000 0.000 Sc
0.500 0.500 0.500 Ta
0.750 0.750 0.750 Fe
```

Results
E_form	0.222	eV per atom
E above lowest polymorph	248	meV/atom
crystal system	cubic
space-group type	F-43m, No. 216

- What is the formula in the second record?
  ScTaFe

- Among the records above, which one has the highest E_form?
  ScTaFe

- Which formula does entry 1 have?
  Tm2Pd5Au